(1)
Density functional theory data (GGA-PBEsol) for a relaxed CrAg2Au crystal.

Results
Space group ... C2/m
Distance to the lowest polymorph of the same formula ... 0.0 meV per atom

abc: 2.8491 4.8581 5.5288
angles: 115.36 103.82 92.44
Closest atoms and distances in Å follow each position.
Atoms (fractional coordinates):
Ag: 0.5000 0.5000 0.5000  6 Ag 2.76-2.87, 2 Cr 2.79, 2 Au 2.79
Ag: 0.0000 0.0000 0.5000  6 Ag 2.76-2.87, 2 Au 2.79, 2 Cr 2.79
Au: 0.0000 0.5000 0.0000  4 Cr 2.76-2.87, 4 Ag 2.79, 2 Au 2.85
Cr: 0.5000 0.0000 0.0000  4 Au 2.76-2.87, 4 Ag 2.79, 2 Cr 2.85



(2)
Density functional theory data (GGA-PBEsol) for a relaxed CrAg2Au crystal.

Results
Space group ... Cmmm
Distance to the lowest polymorph of the same formula ... 2.4 meV per atom

abc: 2.9871 4.8260 4.8260
angles: 108.42 90.00 90.00
Closest atoms and distances in Å follow each position.
Atoms (fractional coordinates):
Ag: 0.0000 0.5000 0.0000  4 Ag 2.82-2.99, 4 Au 2.84, 4 Cr 2.84
Ag: 0.0000 0.0000 0.5000  4 Ag 2.82-2.99, 4 Cr 2.84, 4 Au 2.84
Au: 0.5000 0.0000 0.0000  2 Cr 2.82, 8 Ag 2.84, 2 Au 2.99
Cr: 0.5000 0.5000 0.5000  2 Au 2.82, 8 Ag 2.84, 2 Cr 2.99



(3)
Density functional theory data (GGA-PBEsol) for a relaxed CrAgAu crystal.

Results
Space group ... I4mm

abc: 3.3301 3.3301 4.9500
angles: 109.66 109.66 90.00
Closest atoms and distances in Å follow each position.
Atoms (fractional coordinates):
Ag: 0.9971 0.9971 0.9942  5 Cr 2.77-2.90, 5 Au 2.81-2.82
Au: 0.6731 0.6731 0.3463  5 Cr 2.72-2.99, 5 Ag 2.81-2.82
Cr: 0.3298 0.3298 0.6595  5 Au 2.72-2.99, 5 Ag 2.77-2.90



(4)
Density functional theory data (GGA-PBEsol) for a relaxed MnCrAg2Au crystal.

Results
Space group ... P4/mmm

abc: 4.8404 5.0084 5.0084
angles: 90.00 90.00 90.00
Closest atoms and distances in Å follow each position.
Atoms (fractional coordinates):
Cr: 0.5000 0.0000 0.0000  2 Au 2.42
Mn: 0.5000 0.5000 0.5000  8 Ag 3.48, 4 Cr 3.54
Au: 0.0000 0.0000 0.0000  2 Cr 2.42, 4 Ag 2.50
Ag: 0.0000 0.0000 0.5000  2 Au 2.50
Ag: 0.0000 0.5000 0.0000  2 Au 2.50



(5)
Density functional theory data (GGA-PBEsol) for a relaxed Cs2Ag2Au crystal.

Results
Space group ... I4/mmm

abc: 3.8869 3.8869 10.8835
angles: 100.29 100.29 90.00
Closest atoms and distances in Å follow each position.
Atoms (fractional coordinates):
Cs: 0.3957 0.3957 0.7914  4 Au 3.52, 4 Ag 3.63, 4 Cs 3.89
Cs: 0.6043 0.6043 0.2086  4 Au 3.52, 4 Ag 3.63, 4 Cs 3.89
Au: 0.0000 0.0000 0.0000  8 Cs 3.52, 4 Au 3.89
Ag: 0.2500 0.7500 0.5000  4 Ag 2.75
Ag: 0.7500 0.2500 0.5000  4 Ag 2.75



(6)
Density functional theory data (GGA-PBEsol) for a relaxed Cs2AgAu crystal.

Results
Space group ... Fm-3m

abc: 5.9547 5.9547 5.9547
angles: 60.00 60.00 60.00
Closest atoms and distances in Å follow each position.
Atoms (fractional coordinates):
Cs: 0.2500 0.2500 0.2500  4 Ag 3.65, 4 Au 3.65
Cs: 0.7500 0.7500 0.7500  4 Ag 3.65, 4 Au 3.65
Au: 0.5000 0.5000 0.5000  8 Cs 3.65
Ag: 0.0000 0.0000 0.0000  8 Cs 3.65



(7)
Density functional theory data (GGA-PBEsol) for a relaxed CsAg3Au crystal.

Results
Space group ... Pm-3m

abc: 5.6624 5.6624 5.6624
angles: 90.00 90.00 90.00
Closest atoms and distances in Å follow each position.
Atoms (fractional coordinates):
Cs: 0.0000 0.0000 0.0000  6 Ag 2.83
Au: 0.5000 0.5000 0.5000  12 Ag 4.00
Ag: 0.0000 0.5000 0.0000  2 Cs 2.83
Ag: 0.0000 0.0000 0.5000  2 Cs 2.83
Ag: 0.5000 0.0000 0.0000  2 Cs 2.83



(8)
Density functional theory data (GGA-PBEsol) for a relaxed CsAgAu3 crystal.

Results
Space group ... Pm-3m

abc: 5.1685 5.1685 5.1685
angles: 90.00 90.00 90.00
Closest atoms and distances in Å follow each position.
Atoms (fractional coordinates):
Cs: 0.5000 0.5000 0.5000  12 Au 3.65
Au: 0.0000 0.5000 0.0000  2 Ag 2.58
Au: 0.0000 0.0000 0.5000  2 Ag 2.58
Au: 0.5000 0.0000 0.0000  2 Ag 2.58
Ag: 0.0000 0.0000 0.0000  6 Au 2.58



(9)
Density functional theory data (GGA-PBEsol) for a relaxed Cs3AgAu crystal.

Results
Space group ... Pm-3m

abc: 6.6393 6.6393 6.6393
angles: 90.00 90.00 90.00
Closest atoms and distances in Å follow each position.
Atoms (fractional coordinates):
Cs: 0.0000 0.5000 0.0000  2 Au 3.32
Cs: 0.0000 0.0000 0.5000  2 Au 3.32
Cs: 0.5000 0.0000 0.0000  2 Au 3.32
Au: 0.0000 0.0000 0.0000  6 Cs 3.32
Ag: 0.5000 0.5000 0.5000  12 Cs 4.69



(10)
Density functional theory data (GGA-PBEsol) for a relaxed Cs2AgAuF6 crystal.

Results
Space group ... Fm-3m
Uncorrected formation energy ... -172 kJ per mole of atoms

abc: 6.2626 6.2626 6.2626
angles: 60.00 60.00 60.00
Closest atoms and distances in Å follow each position.
Atoms (fractional coordinates):
Cs: 0.7500 0.7500 0.7500  12 F 3.13
Cs: 0.2500 0.2500 0.2500  12 F 3.13
Ag: 0.5000 0.5000 0.5000  6 F 2.23
Au: 0.0000 0.0000 0.0000  6 F 2.19
F: 0.7523 0.2477 0.2477  1 Au 2.19, 1 Ag 2.23
F: 0.7523 0.7523 0.2477  1 Au 2.19, 1 Ag 2.23
F: 0.2477 0.7523 0.7523  1 Au 2.19, 1 Ag 2.23
F: 0.7523 0.2477 0.7523  1 Au 2.19, 1 Ag 2.23
F: 0.2477 0.7523 0.2477  1 Au 2.19, 1 Ag 2.23
F: 0.2477 0.2477 0.7523  1 Au 2.19, 1 Ag 2.23



(11)
Density functional theory data (GGA-PBEsol) for a relaxed CuAgAu2 crystal.

Results
Space group ... R3m
Distance to the lowest polymorph of the same formula ... 84.1 meV per atom

abc: 2.8354 2.8354 9.1397
angles: 81.08 81.08 60.00
Closest atoms and distances in Å follow each position.
Atoms (fractional coordinates):
Au: 0.9992 0.9992 0.0023  9 Au 2.84-2.94, 3 Ag 2.89
Au: 0.7564 0.7564 0.7309  3 Cu 2.65, 9 Au 2.84-2.94
Cu: 0.5002 0.5002 0.4995  3 Au 2.65, 3 Ag 2.65, 6 Cu 2.84
Ag: 0.2442 0.2442 0.2673  3 Cu 2.65, 6 Ag 2.84, 3 Au 2.89



(12)
Density functional theory data (GGA-PBEsol) for a relaxed CuAg2Au crystal.

Results
Space group ... I-4m2
Distance to the lowest polymorph of the same formula ... 15.1 meV per atom

abc: 3.9709 3.9709 4.8240
angles: 114.30 114.30 90.00
Closest atoms and distances in Å follow each position.
Atoms (fractional coordinates):
Au: 0.5000 0.5000 0.0000  4 Cu 2.79, 8 Ag 2.79-2.81
Cu: 0.2500 0.7500 0.5000  4 Au 2.79, 8 Ag 2.79-2.81
Ag: 0.0000 0.0000 0.0000  4 Cu 2.79, 4 Ag 2.79, 4 Au 2.81
Ag: 0.7500 0.2500 0.5000  4 Au 2.79, 4 Ag 2.79, 4 Cu 2.81



Calculated total energy in eV/f.u., matching the order above: -19.59; -19.58; -16.61; -23.86; -12.22; -9.05; -6.11; -14.57; -9.39; -38.53; -15.39; -14.83